No. 1
The following is a DFT calculation (meta-GGA SCAN) of Si2AsRu at its PBEsol-relaxed geometry.

Properties
Its formation energy without anion corrections is 232 meV per atom. The value obtained for the total magnetization is 0.00 μB per formula unit. The calculation puts the calculated total energy at -18.531 eV/atom.

Unit cell a=2.896 b=4.477 c=4.477 alpha=106.55 beta=90.00 gamma=90.00
Fractional coordinates of all 4 atoms:
Si (0.000, 0.000, 0.500)
Ru (0.500, 0.500, 0.500)
Si (0.000, 0.500, 0.000)
As (0.500, 0.000, 0.000)

---

No. 2
The following is a DFT calculation (meta-GGA SCAN) of Si2AsRu at its PBEsol-relaxed geometry.

Properties
Its formation energy without anion corrections is 139 meV per atom. The value obtained for the total magnetization is 0.00 μB per formula unit. The calculation puts the calculated total energy at -18.623 eV/atom.

Unit cell a=5.537 b=5.537 c=6.499 alpha=115.21 beta=115.21 gamma=90.00
Fractional coordinates of all 8 atoms:
Ru (0.250, 0.750, 0.500)
Ru (0.000, 0.000, 0.000)
Si (0.125, 0.104, 0.750)
Si (0.354, 0.875, 0.250)
As (0.500, 0.500, 0.000)
As (0.750, 0.250, 0.500)
Si (0.625, 0.646, 0.750)
Si (0.896, 0.375, 0.250)

---

No. 3
The following is a DFT calculation (meta-GGA SCAN) of SiAsRu2 at its PBEsol-relaxed geometry.

Properties
Its formation energy without anion corrections is 64 meV per atom. The value obtained for the total magnetization is 0.00 μB per formula unit. The calculation puts the calculated total energy at -24.901 eV/atom.

Unit cell a=2.957 b=3.863 c=4.946 alpha=90.00 beta=90.00 gamma=90.00
Fractional coordinates of all 4 atoms:
As (0.000, 0.500, 0.500)
Ru (0.000, 0.000, 0.000)
Si (0.500, 0.500, 0.000)
Ru (0.500, 0.000, 0.500)

---

No. 4
The following is a DFT calculation (meta-GGA SCAN) of SiTeAsRu2 at its PBEsol-relaxed geometry.

Properties
Its formation energy without anion corrections is 1736 meV per atom. The value obtained for the total magnetization is 2.38 μB per formula unit. The calculation puts the calculated total energy at -25.686 eV/atom.

Unit cell a=4.779 b=4.779 c=4.961 alpha=90.00 beta=90.00 gamma=90.00
Site moments in Bohr magnetons follow the coordinates.
Fractional coordinates of all 5 atoms:
As (0.500, 0.500, 0.500)  -0.08
Te (0.000, 0.000, 0.000)  -0.01
Ru (0.000, 0.500, 0.000)  1.20
Ru (0.500, 0.000, 0.000)  1.20
Si (0.000, 0.000, 0.500)  0.01

---

No. 5
The following is a DFT calculation (meta-GGA SCAN) of SnAsRu2 at its PBEsol-relaxed geometry.

Properties
As for the formation enthalpy at 0 K: 0.08 eV per atom. The value obtained for the total magnetization is 0.00 μB per formula unit. The calculation puts the calculated total energy at -31.360 eV/atom.

Unit cell a=4.427 b=4.427 c=4.427 alpha=60.00 beta=60.00 gamma=60.00
Fractional coordinates of all 4 atoms:
Sn (0.500, 0.500, 0.500)
As (0.000, 0.000, 0.000)
Ru (0.750, 0.750, 0.750)
Ru (0.250, 0.250, 0.250)

---

No. 6
The following is a DFT calculation (meta-GGA SCAN) of SrAs2Ru at its PBEsol-relaxed geometry.

Properties
As for the formation enthalpy at 0 K: -0.50 eV per atom. The value obtained for the total magnetization is 0.00 μB per formula unit. The calculation puts the calculated total energy at -24.873 eV/atom.

Unit cell a=6.231 b=6.231 c=6.231 alpha=108.00 beta=108.00 gamma=112.45
Fractional coordinates of all 8 atoms:
As (0.625, 0.039, 0.914)
As (0.961, 0.875, 0.586)
Ru (0.250, 0.750, 0.500)
Ru (0.000, 0.000, 0.000)
As (0.289, 0.375, 0.414)
Sr (0.500, 0.500, 0.000)
Sr (0.750, 0.250, 0.500)
As (0.125, 0.711, 0.086)